# 1
PrY6Ho2: relaxed, PBE-GGA.

a b c (Å): 5.7363 11.8791 11.8791
angles (deg): 48.24 103.90 103.90
Closest atoms and distances in Å follow each position.
Sites, in units of the cell vectors:
Pr  0.2500  0.2504  0.7496  14 Y 3.49-3.86
Pr  0.7500  0.7496  0.2504  14 Y 3.49-3.86
Y  0.8084  0.5027  0.6673  6 Y 3.27-3.66, 1 Ho 3.47, 1 Pr 3.63
Y  0.6916  0.3327  0.4973  6 Y 3.27-3.66, 1 Ho 3.47, 1 Pr 3.63
Y  0.1916  0.4973  0.3327  6 Y 3.27-3.66, 1 Ho 3.47, 1 Pr 3.63
Y  0.3084  0.6673  0.5027  6 Y 3.27-3.66, 1 Ho 3.47, 1 Pr 3.63
Y  0.9168  0.9174  0.4167  7 Y 3.47-3.84, 1 Pr 3.49, 6 Ho 3.58-3.88
Y  0.5832  0.5833  0.0826  7 Y 3.47-3.84, 1 Pr 3.49, 6 Ho 3.58-3.88
Y  0.0832  0.0826  0.5833  7 Y 3.47-3.84, 1 Pr 3.49, 6 Ho 3.58-3.88
Y  0.4168  0.4167  0.9174  7 Y 3.47-3.84, 1 Pr 3.49, 6 Ho 3.58-3.88
Y  0.1393  0.8328  0.9974  6 Y 3.27-3.66, 1 Ho 3.47, 1 Pr 3.63
Y  0.3607  0.0026  0.1672  6 Y 3.27-3.66, 1 Ho 3.47, 1 Pr 3.63
Y  0.8607  0.1672  0.0026  6 Y 3.27-3.66, 1 Ho 3.47, 1 Pr 3.63
Y  0.6393  0.9974  0.8328  6 Y 3.27-3.66, 1 Ho 3.47, 1 Pr 3.63
Ho  0.0332  0.6676  0.8323  3 Ho 3.28, 6 Y 3.47-3.67
Ho  0.4668  0.1677  0.3324  3 Ho 3.28, 6 Y 3.47-3.67
Ho  0.9668  0.3324  0.1677  3 Ho 3.28, 6 Y 3.47-3.67
Ho  0.5332  0.8323  0.6676  3 Ho 3.28, 6 Y 3.47-3.67

## Properties
**Size of the total moment**: 0.00 μB per formula unit
**Distance to the lowest polymorph of the same formula**: 0.009 eV per atom
**ΔE_f**: 0.068 eV per atom
**Space-group type**: C2/c, No. 15
**Crystal system**: monoclinic


# 2
Pr6Dy2YSc: relaxed, PBE-GGA.

a b c (Å): 8.7985 7.0256 6.7515
angles (deg): 121.35 100.53 90.00
Closest atoms and distances in Å follow each position.
Sites, in units of the cell vectors:
Pr  0.3998  0.6239  0.2478  1 Sc 3.50, 7 Pr 3.66-3.87
Pr  0.2026  0.0833  0.6777  2 Dy 3.30-3.49, 1 Y 3.34, 1 Sc 3.36, 2 Pr 3.44-3.59
Pr  0.7974  0.4056  0.3223  2 Dy 3.30-3.49, 1 Y 3.34, 1 Sc 3.36, 2 Pr 3.44-3.59
Pr  0.2026  0.5944  0.6777  2 Dy 3.30-3.49, 1 Y 3.34, 1 Sc 3.36, 2 Pr 3.44-3.59
Pr  0.7974  0.9167  0.3223  2 Dy 3.30-3.49, 1 Y 3.34, 1 Sc 3.36, 2 Pr 3.44-3.59
Pr  0.6002  0.3761  0.7522  1 Sc 3.50, 7 Pr 3.66-3.87
Dy  0.1606  0.0935  0.1870  1 Dy 3.17, 4 Pr 3.30-3.49, 1 Y 3.38
Dy  0.8394  0.9065  0.8130  1 Dy 3.17, 4 Pr 3.30-3.49, 1 Y 3.38
Y  0.5000  0.0000  0.0000  4 Pr 3.34, 2 Dy 3.38
Sc  0.0000  0.5000  0.0000  6 Pr 3.36-3.50

## Properties
**Size of the total moment**: 0.00 μB per formula unit
**ΔE_f**: 0.232 eV per atom
**Space-group type**: C2/m, No. 12
**Crystal system**: monoclinic